The following is a DFT calculation (PBE) of an optimized crystal structure of La6PrDyY2.

abc: 9.0694 7.1320 6.7543
angles: 121.87 101.61 90.00
Last column: nearest neighbours and their distance in Å.
Fractional positions:
La 0.5679 0.3624 0.7248  5 La 3.65-3.87, 1 Dy 3.86, 3 Pr 4.01-4.06
La 0.1929 0.5967 0.6367  2 La 3.16-3.50, 1 Y 3.26, 1 Pr 3.44
La 0.4321 0.6376 0.2752  5 La 3.65-3.87, 1 Dy 3.86, 3 Pr 4.01-4.06
La 0.1929 0.0401 0.6367  2 La 3.16-3.50, 1 Y 3.26, 1 Pr 3.44
La 0.8071 0.9599 0.3633  2 La 3.16-3.50, 1 Y 3.26, 1 Pr 3.44
La 0.8071 0.4033 0.3633  2 La 3.16-3.50, 1 Y 3.26, 1 Pr 3.44
Dy 0.0000 0.5000 0.0000  10 La 3.62-3.98, 4 Y 3.90
Y 0.8374 0.9112 0.8225  1 Y 3.16, 2 La 3.26, 1 Pr 3.45
Y 0.1626 0.0888 0.1775  1 Y 3.16, 2 La 3.26, 1 Pr 3.45
Pr 0.5000 0.0000 0.0000  4 La 3.44, 2 Y 3.45

Computed properties:
DFT formation energy	0.1911	eV/atom
E	-4.996	eV/atom